A relaxed Ba2CaRuI crystal. Source: Alexandria via LeMat-Bulk, functional PBE.

a = 6.018 Å, b = 6.018 Å, c = 5.535 Å
α = 90.00°, β = 90.00°, γ = 90.00°
Fractional positions:
1 Ba 0.000 0.500 0.000
2 Ba 0.500 0.000 0.000
3 Ca 0.000 0.000 0.500
4 Ru 0.000 0.000 0.000
5 I 0.500 0.500 0.500

## Properties
- magnetization (μB/f.u.) = 0.0
- space group = No. 123
- crystal system = tetragonal
- D(E_F) (states/eV/f.u.) = 5.31
- ΔE_f (raw) (kcal/mol of atoms) = -5.5

A relaxed BSb2TeIr crystal. Source: Alexandria via LeMat-Bulk, functional PBE.

a = 4.627 Å, b = 4.627 Å, c = 4.707 Å
α = 90.00°, β = 90.00°, γ = 90.00°
Fractional positions:
1 B 0.000 0.000 0.000
2 Sb 0.000 0.500 0.000
3 Sb 0.500 0.000 0.000
4 Te 0.000 0.000 0.500
5 Ir 0.500 0.500 0.500

## Properties
- magnetization (μB/f.u.) = 0.0
- space group = No. 123
- crystal system = tetragonal
- energy relative to the lowest polymorph listed for this composition (meV per atom) = 0.0
- D(E_F) (states/eV/f.u.) = 2.52
- ΔE_f (raw) (kcal/mol of atoms) = 22.9

A relaxed PmNpN2 crystal. Source: Alexandria via LeMat-Bulk, functional PBE.

a = 6.991 Å, b = 6.991 Å, c = 6.991 Å
α = 29.60°, β = 29.60°, γ = 29.60°
Fractional positions:
1 Pm 0.000 0.000 0.000
2 Np 0.500 0.500 0.500
3 N 0.118 0.118 0.118
4 N 0.882 0.882 0.882

## Properties
- magnetization (μB/f.u.) = 2.4
- space group = No. 166
- crystal system = trigonal
- energy relative to the lowest polymorph listed for this composition (meV per atom) = 357.1
- D(E_F) (states/eV/f.u.) = 6.61
- ΔE_f (raw) (kcal/mol of atoms) = -21.6

A relaxed Sr4CaPb crystal. Source: Alexandria via LeMat-Bulk, functional PBE.

a = 7.404 Å, b = 7.404 Å, c = 7.404 Å
α = 60.00°, β = 60.00°, γ = 60.00°
Fractional positions:
1 Sr 0.376 0.376 0.376
2 Sr 0.376 0.376 0.873
3 Sr 0.376 0.873 0.376
4 Sr 0.873 0.376 0.376
5 Ca 0.000 0.000 0.000
6 Pb 0.750 0.750 0.750

## Properties
- magnetization (μB/f.u.) = 0.0
- calculated formation energy (eV per atom) = 0.20
- space group = No. 216
- crystal system = cubic
- D(E_F) (states/eV/f.u.) = 7.57